Entry from the Open Quantum Materials Database: a relaxed BeCoNO crystal (PBE+U).

Output
The magnetization comes out at 3.988 μB per cell. The value obtained for the calculated volume is 33.4 Å³/f.u. For the total energy, the calculation gives -50.057 eV per cell.

a = 3.581 Å, b = 3.581 Å, c = 5.208 Å
α = 90.00°, β = 90.00°, γ = 90.00°
Fractional coordinates of all 8 atoms:
1 Be 0.250 0.250 0.059
2 Be 0.750 0.750 0.941
3 Co 0.250 0.750 0.500
4 Co 0.750 0.250 0.500
5 N 0.250 0.250 0.394
6 N 0.750 0.750 0.606
7 O 0.250 0.750 0.000
8 O 0.750 0.250 0.000